(1)
Computed, not measured: crystalline Be2IBr at its relaxed geometry at the PBE-GGA level of DFT.

```
data_Be2IBr
_chemical_formula_sum 'Be8 I4 Br4'
_cell_length_a 6.7036
_cell_length_b 6.7036
_cell_length_c 7.3299
_cell_angle_alpha 90.00
_cell_angle_beta 90.00
_cell_angle_gamma 90.00
_space_group_name_H-M_alt 'I -4 2 d'
_space_group_IT_number 122
_space_group_name_Hall 'I -4 2bw'
loop_
_atom_site_label
_atom_site_fract_x
_atom_site_fract_y
_atom_site_fract_z
_atom_site_occupancy
Be1 0.2363 0.2500 0.1250 1
I1 0.0000 0.0000 0.5000 1
Br1 0.0000 0.0000 0.0000 1
```

Calculated values
energy: -2.072 eV per atom
energy relative to the elements, uncorrected: 0.60 eV/atom
energy relative to the lowest polymorph listed for this composition: 0.000 eV/atom

***

(2)
Computed, not measured: crystalline KBeGeP2 at its relaxed geometry at the PBE-GGA level of DFT.

```
data_KBeGeP2
_chemical_formula_sum 'K1 Be1 Ge1 P2'
_cell_length_a 5.2359
_cell_length_b 5.2359
_cell_length_c 4.9263
_cell_angle_alpha 90.00
_cell_angle_beta 90.00
_cell_angle_gamma 90.00
_space_group_name_H-M_alt 'P 4/m m m'
_space_group_IT_number 123
_space_group_name_Hall '-P 4 2'
loop_
_atom_site_label
_atom_site_fract_x
_atom_site_fract_y
_atom_site_fract_z
_atom_site_occupancy
K1 0.0000 0.0000 0.0000 1
Be1 0.0000 0.0000 0.5000 1
Ge1 0.5000 0.5000 0.5000 1
P1 0.0000 0.5000 0.0000 1
```

Calculated values
energy: -2.021 eV per atom
ΔE_f: 2.031 eV/atom

***

(3)
Computed, not measured: crystalline RbSrTaO4 at its relaxed geometry at the PBE-GGA level of DFT.

```
data_RbSrTaO4
_chemical_formula_sum 'Rb2 Sr2 Ta2 O8'
_cell_length_a 6.4864
_cell_length_b 6.4450
_cell_length_c 7.7896
_cell_angle_alpha 90.00
_cell_angle_beta 103.00
_cell_angle_gamma 90.00
_space_group_name_H-M_alt 'P 1 21/m 1'
_space_group_IT_number 11
loop_
_space_group_symop_operation_xyz
'x,y,z'
'-x,-y,-z'
'-x,y+1/2,-z'
'x,-y+1/2,z'
loop_
_atom_site_label
_atom_site_fract_x
_atom_site_fract_y
_atom_site_fract_z
_atom_site_occupancy
Rb1 0.1883 0.2500 0.4136 1
Sr1 0.3068 0.2500 0.9465 1
Ta1 0.2184 0.7500 0.1564 1
O1 0.0335 0.7500 0.3098 1
O2 0.0373 0.7500 0.9354 1
O3 0.4057 0.5239 0.1741 1
```

Calculated values
energy: -7.568 eV per atom
energy relative to the elements, uncorrected: -2.66 eV/atom

***

(4)
Computed, not measured: crystalline KEuAgBi at its relaxed geometry at the PBE-GGA level of DFT.

```
data_KEuAgBi
_chemical_formula_sum 'K4 Eu4 Ag4 Bi4'
_cell_length_a 7.9932
_cell_length_b 7.9932
_cell_length_c 7.9932
_cell_angle_alpha 90.00
_cell_angle_beta 90.00
_cell_angle_gamma 90.00
_space_group_name_H-M_alt 'F -4 3 m'
_space_group_IT_number 216
_space_group_name_Hall 'F -4 2 3'
loop_
_atom_site_label
_atom_site_fract_x
_atom_site_fract_y
_atom_site_fract_z
_atom_site_occupancy
K1 0.0000 0.0000 0.0000 1
Eu1 0.0000 0.0000 0.5000 1
Ag1 0.2500 0.2500 0.2500 1
Bi1 0.2500 0.2500 0.7500 1
```

Calculated values
energy: -4.852 eV per atom
ΔE_f: -0.326 eV/atom

***

(5)
Computed, not measured: crystalline AcDyHg at its relaxed geometry at the PBE-GGA level of DFT.

```
data_AcDyHg
_chemical_formula_sum 'Ac2 Dy2 Hg2'
_cell_length_a 3.8590
_cell_length_b 3.8590
_cell_length_c 13.0885
_cell_angle_alpha 90.00
_cell_angle_beta 90.00
_cell_angle_gamma 90.00
_space_group_name_H-M_alt 'I 4 m m'
_space_group_IT_number 107
_space_group_name_Hall 'I 4 -2'
loop_
_atom_site_label
_atom_site_fract_x
_atom_site_fract_y
_atom_site_fract_z
_atom_site_occupancy
Ac1 0.0000 0.0000 0.0000 1
Dy1 0.0000 0.0000 0.2981 1
Hg1 0.0000 0.0000 0.6781 1
```

Calculated values
energy: -3.290 eV per atom
ΔE_f: -0.286 eV/atom
energy relative to the lowest polymorph listed for this composition: 0.039 eV/atom

***

(6)
Computed, not measured: crystalline AlZn2Ni3 at its relaxed geometry at the PBE-GGA level of DFT.

```
data_AlZn2Ni3
_chemical_formula_sum 'Al1 Zn2 Ni3'
_cell_length_a 4.0880
_cell_length_b 4.0880
_cell_length_c 5.0126
_cell_angle_alpha 90.00
_cell_angle_beta 90.00
_cell_angle_gamma 120.00
_space_group_name_H-M_alt 'P -3 m 1'
_space_group_IT_number 164
_space_group_name_Hall '-P 3 2"'
loop_
_atom_site_label
_atom_site_fract_x
_atom_site_fract_y
_atom_site_fract_z
_atom_site_occupancy
Al1 0.0000 0.0000 0.0000 1
Zn1 0.3333 0.6667 0.6623 1
Ni1 0.0000 0.0000 0.5000 1
Ni2 0.3333 0.6667 0.1604 1
```

Calculated values
energy: -4.317 eV per atom
ΔE_f: -0.378 eV/atom
energy relative to the lowest polymorph listed for this composition: 0.002 eV/atom

***

(7)
Computed, not measured: crystalline LiFeBr2 at its relaxed geometry at the PBE-GGA level of DFT.

```
data_LiFeBr2
_chemical_formula_sum 'Li4 Fe4 Br8'
_cell_length_a 6.7560
_cell_length_b 6.7560
_cell_length_c 6.7560
_cell_angle_alpha 90.00
_cell_angle_beta 90.00
_cell_angle_gamma 90.00
_space_group_name_H-M_alt 'F m -3 m'
_space_group_IT_number 225
_space_group_name_Hall '-F 4 2 3'
loop_
_atom_site_label
_atom_site_fract_x
_atom_site_fract_y
_atom_site_fract_z
_atom_site_occupancy
Li1 0.0000 0.0000 0.0000 1
Fe1 0.0000 0.0000 0.5000 1
Br1 0.2500 0.2500 0.2500 1
```

Calculated values
energy: -3.703 eV per atom
energy relative to the elements, uncorrected: -0.27 eV/atom
energy relative to the lowest polymorph listed for this composition: 0.254 eV/atom

***

(8)
Computed, not measured: crystalline Pu2As3Pd5 at its relaxed geometry at the PBE-GGA level of DFT.

```
data_Pu2As3Pd5
_chemical_formula_sum 'Pu8 As12 Pd20'
_cell_length_a 4.4367
_cell_length_b 23.8180
_cell_length_c 6.9328
_cell_angle_alpha 90.00
_cell_angle_beta 90.00
_cell_angle_gamma 90.00
_space_group_name_H-M_alt 'C m c 21'
_space_group_IT_number 36
loop_
_space_group_symop_operation_xyz
'x,y,z'
'-x,-y,z+1/2'
'-x,y,z'
'x,-y,z+1/2'
'x+1/2,y+1/2,z'
'-x+1/2,-y+1/2,z+1/2'
'-x+1/2,y+1/2,z'
'x+1/2,-y+1/2,z+1/2'
loop_
_atom_site_label
_atom_site_fract_x
_atom_site_fract_y
_atom_site_fract_z
_atom_site_occupancy
Pu1 0.0000 0.0174 0.0000 1
Pu2 0.0000 0.3307 0.9779 1
As1 0.0000 0.1070 0.2988 1
As2 0.0000 0.2740 0.3886 1
As3 0.0000 0.4475 0.1971 1
Pd1 0.0000 0.1106 0.7138 1
Pd2 0.0000 0.1964 0.1004 1
Pd3 0.0000 0.2304 0.7085 1
Pd4 0.0000 0.3753 0.4784 1
Pd5 0.0000 0.4480 0.8024 1
```

Calculated values
energy: -7.483 eV per atom
ΔE_f: -0.626 eV/atom

***

(9)
Computed, not measured: crystalline La2Nd6DyHo at its relaxed geometry at the PBE-GGA level of DFT.

```
data_La2Nd6DyHo
_chemical_formula_sum 'La8 Nd24 Dy4 Ho4'
_cell_length_a 9.1947
_cell_length_b 15.3034
_cell_length_c 10.1367
_cell_angle_alpha 90.00
_cell_angle_beta 100.41
_cell_angle_gamma 90.00
_space_group_name_H-M_alt 'C 1 2/c 1'
_space_group_IT_number 15
loop_
_space_group_symop_operation_xyz
'x,y,z'
'-x,-y,-z'
'-x,y,-z+1/2'
'x,-y,z+1/2'
'x+1/2,y+1/2,z'
'-x+1/2,-y+1/2,-z'
'-x+1/2,y+1/2,-z+1/2'
'x+1/2,-y+1/2,z+1/2'
loop_
_atom_site_label
_atom_site_fract_x
_atom_site_fract_y
_atom_site_fract_z
_atom_site_occupancy
La1 0.2410 0.0490 0.0406 1
Nd1 0.0668 0.1900 0.4438 1
Nd2 0.1041 0.3986 0.6217 1
Nd3 0.1990 0.2185 0.8109 1
Dy1 0.0000 0.4047 0.2500 1
Ho1 0.0000 0.0124 0.7500 1
```

Calculated values
energy: -4.652 eV per atom
ΔE_f: 0.113 eV/atom

***

(10)
Computed, not measured: crystalline CoHSBr at its relaxed geometry at the PBE-GGA level of DFT.

```
data_CoHSBr
_chemical_formula_sum 'Co1 H1 S1 Br1'
_cell_length_a 3.8520
_cell_length_b 3.8520
_cell_length_c 5.3574
_cell_angle_alpha 90.00
_cell_angle_beta 90.00
_cell_angle_gamma 120.00
_space_group_name_H-M_alt 'P 3 m 1'
_space_group_IT_number 156
loop_
_space_group_symop_operation_xyz
'x,y,z'
'-y,x-y,z'
'-x+y,-x,z'
'-y,-x,z'
'-x+y,y,z'
'x,x-y,z'
loop_
_atom_site_label
_atom_site_fract_x
_atom_site_fract_y
_atom_site_fract_z
_atom_site_occupancy
Co1 0.0000 0.0000 0.0000 1
H1 0.6667 0.3333 0.6812 1
S1 0.6667 0.3333 0.9373 1
Br1 0.0000 0.0000 0.4427 1
```

Calculated values
energy: -4.173 eV per atom
energy relative to the lowest polymorph listed for this composition: 0.094 eV/atom

***

(11)
Computed, not measured: crystalline Ho4Er5Sb2 at its relaxed geometry at the PBE-GGA level of DFT.

```
data_Ho4Er5Sb2
_chemical_formula_sum 'Ho12 Er15 Sb6'
_cell_length_a 5.1739
_cell_length_b 5.1739
_cell_length_c 46.2767
_cell_angle_alpha 90.00
_cell_angle_beta 90.00
_cell_angle_gamma 120.00
_space_group_name_H-M_alt 'R -3 m'
_space_group_IT_number 166
_space_group_name_Hall '-R 3 2"'
loop_
_atom_site_label
_atom_site_fract_x
_atom_site_fract_y
_atom_site_fract_z
_atom_site_occupancy
Ho1 0.0000 0.0000 0.0702 1
Ho2 0.0000 0.0000 0.2252 1
Er1 0.0000 0.0000 0.0000 1
Er2 0.0000 0.0000 0.1469 1
Er3 0.0000 0.0000 0.3037 1
Sb1 0.0000 0.0000 0.3742 1
```

Calculated values
energy: -4.410 eV per atom
energy relative to the elements, uncorrected: 0.08 eV/atom

***

(12)
Computed, not measured: crystalline LiInRe2 at its relaxed geometry at the PBE-GGA level of DFT.

```
data_LiInRe2
_chemical_formula_sum 'Li2 In2 Re4'
_cell_length_a 3.1235
_cell_length_b 4.4745
_cell_length_c 9.2864
_cell_angle_alpha 90.00
_cell_angle_beta 90.00
_cell_angle_gamma 90.00
_space_group_name_H-M_alt 'C m m m'
_space_group_IT_number 65
_space_group_name_Hall '-C 2 2'
loop_
_atom_site_label
_atom_site_fract_x
_atom_site_fract_y
_atom_site_fract_z
_atom_site_occupancy
Li1 0.0000 0.0000 0.0000 1
In1 0.0000 0.0000 0.5000 1
Re1 0.0000 0.5000 0.2453 1
```

Calculated values
energy: -6.767 eV per atom
ΔE_f: 0.620 eV/atom

***

(13)
Computed, not measured: crystalline Zr3RuPt at its relaxed geometry at the PBE-GGA level of DFT.

```
data_Zr3RuPt
_chemical_formula_sum 'Zr3 Ru1 Pt1'
_cell_length_a 4.9296
_cell_length_b 4.9296
_cell_length_c 4.9296
_cell_angle_alpha 90.00
_cell_angle_beta 90.00
_cell_angle_gamma 90.00
_space_group_name_H-M_alt 'P m -3 m'
_space_group_IT_number 221
_space_group_name_Hall '-P 4 2 3'
loop_
_atom_site_label
_atom_site_fract_x
_atom_site_fract_y
_atom_site_fract_z
_atom_site_occupancy
Zr1 0.0000 0.0000 0.5000 1
Ru1 0.0000 0.0000 0.0000 1
Pt1 0.5000 0.5000 0.5000 1
```

Calculated values
energy: -7.905 eV per atom
ΔE_f: 0.287 eV/atom
energy relative to the lowest polymorph listed for this composition: 0.000 eV/atom

***

(14)
Computed, not measured: crystalline Pu2Ni4As3Pd at its relaxed geometry at the PBE-GGA level of DFT.

```
data_Pu2Ni4As3Pd
_chemical_formula_sum 'Pu2 Ni4 As3 Pd1'
_cell_length_a 4.0392
_cell_length_b 4.0392
_cell_length_c 10.0252
_cell_angle_alpha 90.00
_cell_angle_beta 90.00
_cell_angle_gamma 90.00
_space_group_name_H-M_alt 'P -4 m 2'
_space_group_IT_number 115
loop_
_space_group_symop_operation_xyz
'x,y,z'
'y,-x,-z'
'-x,-y,z'
'-y,x,-z'
'-x,y,z'
'-y,-x,-z'
'x,-y,z'
'y,x,-z'
loop_
_atom_site_label
_atom_site_fract_x
_atom_site_fract_y
_atom_site_fract_z
_atom_site_occupancy
Pu1 0.0000 0.5000 0.2486 1
Ni1 0.0000 0.0000 0.5000 1
Ni2 0.0000 0.5000 0.8567 1
Ni3 0.5000 0.5000 0.5000 1
As1 0.0000 0.0000 0.0000 1
As2 0.0000 0.5000 0.6285 1
Pd1 0.5000 0.5000 0.0000 1
```

Calculated values
energy: -7.649 eV per atom
ΔE_f: -0.556 eV/atom

***

(15)
Computed, not measured: crystalline CaLa4W at its relaxed geometry at the PBE-GGA level of DFT.

```
data_CaLa4W
_chemical_formula_sum 'Ca4 La16 W4'
_cell_length_a 9.1519
_cell_length_b 9.1519
_cell_length_c 9.1519
_cell_angle_alpha 90.00
_cell_angle_beta 90.00
_cell_angle_gamma 90.00
_space_group_name_H-M_alt 'F -4 3 m'
_space_group_IT_number 216
_space_group_name_Hall 'F -4 2 3'
loop_
_atom_site_label
_atom_site_fract_x
_atom_site_fract_y
_atom_site_fract_z
_atom_site_occupancy
Ca1 0.0000 0.0000 0.0000 1
La1 0.1223 0.1223 0.6223 1
W1 0.2500 0.2500 0.2500 1
```

Calculated values
energy: -4.878 eV per atom
ΔE_f: 0.900 eV/atom

***

(16)
Computed, not measured: crystalline BeFeCu2 at its relaxed geometry at the PBE-GGA level of DFT.

```
data_BeFeCu2
_chemical_formula_sum 'Be1 Fe1 Cu2'
_cell_length_a 2.5624
_cell_length_b 2.5624
_cell_length_c 6.5807
_cell_angle_alpha 90.00
_cell_angle_beta 90.00
_cell_angle_gamma 90.00
_space_group_name_H-M_alt 'P 4/m m m'
_space_group_IT_number 123
_space_group_name_Hall '-P 4 2'
loop_
_atom_site_label
_atom_site_fract_x
_atom_site_fract_y
_atom_site_fract_z
_atom_site_occupancy
Be1 0.0000 0.0000 0.0000 1
Fe1 0.0000 0.0000 0.5000 1
Cu1 0.5000 0.5000 0.2202 1
```

Calculated values
energy: -5.067 eV per atom
ΔE_f: 0.029 eV/atom

***

(17)
Computed, not measured: crystalline Er2BiSbO8 at its relaxed geometry at the PBE-GGA level of DFT.

```
data_Er2BiSbO8
_chemical_formula_sum 'Er4 Bi2 Sb2 O16'
_cell_length_a 6.9422
_cell_length_b 7.2555
_cell_length_c 6.6984
_cell_angle_alpha 90.00
_cell_angle_beta 90.00
_cell_angle_gamma 90.00
_space_group_name_H-M_alt 'C m m m'
_space_group_IT_number 65
_space_group_name_Hall '-C 2 2'
loop_
_atom_site_label
_atom_site_fract_x
_atom_site_fract_y
_atom_site_fract_z
_atom_site_occupancy
Er1 0.0000 0.0000 0.2439 1
Bi1 0.0000 0.5000 0.5000 1
Sb1 0.0000 0.5000 0.0000 1
O1 0.0000 0.3154 0.2361 1
O2 0.2005 0.0000 0.5000 1
O3 0.2147 0.0000 0.0000 1
```

Calculated values
energy: -6.903 eV per atom
energy relative to the elements, uncorrected: -2.17 eV/atom

***

(18)
Computed, not measured: crystalline PuFe4P2 at its relaxed geometry at the PBE-GGA level of DFT.

```
data_PuFe4P2
_chemical_formula_sum 'Pu2 Fe8 P4'
_cell_length_a 3.7135
_cell_length_b 13.1712
_cell_length_c 3.7351
_cell_angle_alpha 90.00
_cell_angle_beta 90.00
_cell_angle_gamma 90.00
_space_group_name_H-M_alt 'C m m m'
_space_group_IT_number 65
_space_group_name_Hall '-C 2 2'
loop_
_atom_site_label
_atom_site_fract_x
_atom_site_fract_y
_atom_site_fract_z
_atom_site_occupancy
Pu1 0.0000 0.0000 0.0000 1
Fe1 0.0000 0.1877 0.5000 1
Fe2 0.0000 0.3075 0.0000 1
P1 0.0000 0.4047 0.5000 1
```

Calculated values
energy: -8.925 eV per atom
ΔE_f: -0.496 eV/atom
energy relative to the lowest polymorph listed for this composition: 0.048 eV/atom

***

(19)
Computed, not measured: crystalline Fe2NiHPd at its relaxed geometry at the PBE-GGA level of DFT.

```
data_Fe2NiHPd
_chemical_formula_sum 'Fe2 Ni1 H1 Pd1'
_cell_length_a 3.7278
_cell_length_b 3.7278
_cell_length_c 3.7583
_cell_angle_alpha 90.00
_cell_angle_beta 90.00
_cell_angle_gamma 90.00
_space_group_name_H-M_alt 'P 4/m m m'
_space_group_IT_number 123
_space_group_name_Hall '-P 4 2'
loop_
_atom_site_label
_atom_site_fract_x
_atom_site_fract_y
_atom_site_fract_z
_atom_site_occupancy
Fe1 0.0000 0.5000 0.0000 1
Ni1 0.0000 0.0000 0.5000 1
H1 0.0000 0.0000 0.0000 1
Pd1 0.5000 0.5000 0.5000 1
```

Calculated values
energy: -6.275 eV per atom
energy relative to the lowest polymorph listed for this composition: 0.000 eV/atom

***

(20)
Computed, not measured: crystalline Ca2GeSbPt6 at its relaxed geometry at the PBE-GGA level of DFT.

```
data_Ca2GeSbPt6
_chemical_formula_sum 'Ca6 Ge3 Sb3 Pt18'
_cell_length_a 5.6378
_cell_length_b 5.6378
_cell_length_c 23.8760
_cell_angle_alpha 90.00
_cell_angle_beta 90.00
_cell_angle_gamma 120.00
_space_group_name_H-M_alt 'R -3 m'
_space_group_IT_number 166
_space_group_name_Hall '-R 3 2"'
loop_
_atom_site_label
_atom_site_fract_x
_atom_site_fract_y
_atom_site_fract_z
_atom_site_occupancy
Ca1 0.0000 0.0000 0.2063 1
Ge1 0.0000 0.0000 0.0000 1
Sb1 0.0000 0.0000 0.5000 1
Pt1 0.0021 0.5011 0.7463 1
```

Calculated values
energy: -5.476 eV per atom
energy relative to the elements, uncorrected: -0.58 eV/atom